4
Lattice="-4.974 -1.022 1.768 -3.269 -3.175 -2.854 -1.253 -4.900 1.820" Properties=species:S:1:pos:R:3 comment="Eu2TePd | the Alexandria database | GGA-PBE | relaxed" dft_energy_ev_per_atom=-8.196 relative_energy_ev_per_atom=0.023 rho_g_cm3=8.1 n_ef_per_ev_atom=3.781 e_form_raw_ev_per_atom=-0.98 total_magnetization_mub_per_fu=14.02 pbc="T T T"
Eu -7.121 -6.823 0.550
Eu -2.374 -2.274 0.183
Te 0.000 0.000 0.000
Pd -4.748 -4.548 0.367